Material: BaSiIr2
Method: DFT, PBE
State: optimized geometry

Geometry as CIF:
```
data_BaSiIr2
_chemical_formula_sum 'Ba1 Si1 Ir2'
_space_group_name_H-M_alt 'P 1'
_space_group_IT_number 1
_space_group_name_Hall 'P 1'
_cell_length_a 4.835
_cell_length_b 4.835
_cell_length_c 4.835
_cell_angle_alpha 60.00
_cell_angle_beta 60.00
_cell_angle_gamma 60.00
loop_
_atom_site_label
_atom_site_type_symbol
_atom_site_fract_x
_atom_site_fract_y
_atom_site_fract_z
_atom_site_occupancy
Ba1 Ba 0.000 0.000 0.000 1
Si1 Si 0.250 0.250 0.250 1
Ir1 Ir 0.500 0.500 0.500 1
Ir2 Ir 0.750 0.750 0.750 1
```

Summary:
DOS(E_F) in states/eV/f.u.: 5.8
Symmetry: F-43m, No. 216
Calculated total energy in eV/cell: -21.84
Formation energy from raw total energies in eV/f.u.: 3.22